Record 1
DFT (PBE) results for an optimized crystal structure of SiSeBr2Cl.

## Properties
Theoretical density, g cm⁻³: 3.944
Distance to the lowest polymorph of the same formula, meV/atom: 0
V, Å³/cell: 127.3
Uncorrected formation energy, eV/atom: 0.205
Final energy, eV for the cell shown: -13.07

Lattice parameters (Å, degrees): 4.9595 4.9595 5.1746 90.00 90.00 90.00
Atoms (fractional coordinates):
Si 0.0000 0.0000 0.0000
Se 0.0000 0.0000 0.5000
Br 0.0000 0.5000 0.0000
Br 0.5000 0.0000 0.0000
Cl 0.5000 0.5000 0.5000


Record 2
DFT (PBE) results for an optimized crystal structure of SiSeBr2Cl.

## Properties
Theoretical density, g cm⁻³: 3.570
Distance to the lowest polymorph of the same formula, meV/atom: 648
V, Å³/cell: 140.6
Uncorrected formation energy, eV/atom: 0.853
Final energy, eV for the cell shown: -9.83

Lattice parameters (Å, degrees): 5.0696 5.0696 5.4709 90.00 90.00 90.00
Atoms (fractional coordinates):
Si 0.0000 0.0000 0.0000
Se 0.5000 0.5000 0.0000
Br 0.0000 0.5000 0.5000
Br 0.5000 0.0000 0.5000
Cl 0.5000 0.5000 0.5000


Record 3
DFT (PBE) results for an optimized crystal structure of SnSeBr2Cl.

## Properties
Theoretical density, g cm⁻³: 4.495
Distance to the lowest polymorph of the same formula, meV/atom: 253
V, Å³/cell: 145.2
Uncorrected formation energy, eV/atom: 0.309
Final energy, eV for the cell shown: -11.14

Lattice parameters (Å, degrees): 5.1036 5.1036 5.5728 90.00 90.00 90.00
Atoms (fractional coordinates):
Sn 0.0000 0.0000 0.0000
Se 0.5000 0.5000 0.0000
Br 0.0000 0.5000 0.5000
Br 0.5000 0.0000 0.5000
Cl 0.5000 0.5000 0.5000


Record 4
DFT (PBE) results for an optimized crystal structure of SnSeBr2Cl.

## Properties
Theoretical density, g cm⁻³: 3.960
Distance to the lowest polymorph of the same formula, meV/atom: 0
V, Å³/cell: 164.8
Uncorrected formation energy, eV/atom: 0.056
Final energy, eV for the cell shown: -12.40

Lattice parameters (Å, degrees): 5.4046 5.4046 5.6408 90.00 90.00 90.00
Atoms (fractional coordinates):
Sn 0.0000 0.0000 0.0000
Se 0.0000 0.0000 0.5000
Br 0.0000 0.5000 0.0000
Br 0.5000 0.0000 0.0000
Cl 0.5000 0.5000 0.5000


Record 5
DFT (PBE) results for an optimized crystal structure of Sn2SeBrCl.

## Properties
Theoretical density, g cm⁻³: 4.219
V, Å³/cell: 339.8
Uncorrected formation energy, eV/atom: -0.643
Final energy, eV for the cell shown: -36.45

Lattice parameters (Å, degrees): 7.1786 6.9430 7.2748 90.00 110.41 90.00
Atoms (fractional coordinates):
Sn 0.2468 0.1955 0.0587
Sn 0.2468 0.8045 0.5587
Sn 0.7532 0.1955 0.4413
Sn 0.7532 0.8045 0.9413
Se 0.0000 0.0225 0.2500
Se 0.0000 0.9775 0.7500
Br 0.5000 0.1693 0.7500
Br 0.5000 0.8308 0.2500
Cl 0.0000 0.5000 0.0000
Cl 0.0000 0.5000 0.5000


Record 6
DFT (PBE) results for an optimized crystal structure of SrSe2BrCl.

## Properties
Theoretical density, g cm⁻³: 2.790
Distance to the lowest polymorph of the same formula, meV/atom: 216
V, Å³/cell: 214.8
Uncorrected formation energy, eV/atom: -0.300
Final energy, eV for the cell shown: -13.67

Lattice parameters (Å, degrees): 6.2807 6.2807 5.4451 90.00 90.00 90.00
Atoms (fractional coordinates):
Sr 0.0000 0.0000 0.0000
Se 0.0000 0.5000 0.0000
Se 0.5000 0.0000 0.0000
Br 0.5000 0.5000 0.5000
Cl 0.0000 0.0000 0.5000


Record 7
DFT (PBE) results for an optimized crystal structure of SrSe2BrCl.

## Properties
Theoretical density, g cm⁻³: 2.655
Distance to the lowest polymorph of the same formula, meV/atom: 345
V, Å³/cell: 225.7
Uncorrected formation energy, eV/atom: -0.171
Final energy, eV for the cell shown: -13.03

Lattice parameters (Å, degrees): 6.2657 6.2657 5.7494 90.00 90.00 90.00
Atoms (fractional coordinates):
Sr 0.0000 0.0000 0.0000
Se 0.0000 0.5000 0.0000
Se 0.5000 0.0000 0.0000
Br 0.0000 0.0000 0.5000
Cl 0.5000 0.5000 0.5000


Record 8
DFT (PBE) results for an optimized crystal structure of SrSeBr2Cl.

## Properties
Theoretical density, g cm⁻³: 2.964
Distance to the lowest polymorph of the same formula, meV/atom: 0
V, Å³/cell: 202.7
Uncorrected formation energy, eV/atom: -0.793
Final energy, eV for the cell shown: -14.32

Lattice parameters (Å, degrees): 6.0405 6.0405 5.5560 90.00 90.00 90.00
Atoms (fractional coordinates):
Sr 0.0000 0.0000 0.0000
Se 0.5000 0.5000 0.5000
Br 0.0000 0.5000 0.0000
Br 0.5000 0.0000 0.0000
Cl 0.0000 0.0000 0.5000